1.
First-principles (GGA-PBE) data for a relaxed Ba2YTm3O8 crystal, as listed in Alexandria.

a = 6.9117 Å, b = 6.9117 Å, c = 18.0630 Å
α = 90.00°, β = 90.00°, γ = 120.00°
Space group R3m (No. 160, hexagonal axes)
Unique sites:
Ba 0.0000 0.0000 0.0000 (multiplicity 3)
Ba 0.0000 0.0000 0.3773 (multiplicity 3)
Y 0.0000 0.0000 0.7614 (multiplicity 3)
Tm 0.0081 0.5040 0.8775 (multiplicity 9)
O 0.0000 0.0000 0.1469 (multiplicity 3)
O 0.0000 0.0000 0.6188 (multiplicity 3)
O 0.0021 0.5011 0.1407 (multiplicity 9)
O 0.1868 0.3735 0.9393 (multiplicity 9)

2.
First-principles (GGA-PBE) data for a relaxed Ba5Tm8Zn4O21 crystal, as listed in Alexandria.

a = 13.7542 Å, b = 13.7542 Å, c = 5.7004 Å
α = 90.00°, β = 90.00°, γ = 90.00°
Space group I4/m (No. 87)
Unique sites:
Ba 0.0000 0.0000 0.0000 (multiplicity 2)
Ba 0.0360 0.3597 0.5000 (multiplicity 8)
Tm 0.0887 0.8586 0.5000 (multiplicity 8)
Tm 0.1685 0.2476 0.0000 (multiplicity 8)
Zn 0.0405 0.7506 0.0000 (multiplicity 8)
O 0.0000 0.0000 0.5000 (multiplicity 2)
O 0.0398 0.3704 0.0000 (multiplicity 8)
O 0.0487 0.1771 0.2515 (multiplicity 16)
O 0.1490 0.7439 0.2499 (multiplicity 16)

3.
First-principles (GGA-PBE) data for a relaxed BaTm2ZnO5 crystal, as listed in Alexandria.

a = 12.3006 Å, b = 5.7015 Å, c = 7.0636 Å
α = 90.00°, β = 90.00°, γ = 90.00°
Space group Pnma (No. 62)
Unique sites:
Ba 0.1019 0.2500 0.0782 (multiplicity 4)
Tm 0.0743 0.7500 0.4005 (multiplicity 4)
Tm 0.2082 0.2500 0.6194 (multiplicity 4)
Zn 0.1503 0.7500 0.8085 (multiplicity 4)
O 0.0662 0.0004 0.6614 (multiplicity 8)
O 0.1017 0.7500 0.0792 (multiplicity 4)
O 0.2245 0.5012 0.3612 (multiplicity 8)

4.
First-principles (GGA-PBE) data for a relaxed Ba3TmZn2O6 crystal, as listed in Alexandria.

a = 6.1274 Å, b = 6.1274 Å, c = 7.0310 Å
α = 90.00°, β = 90.00°, γ = 120.00°
Space group P-3m1 (No. 164)
Unique sites:
Ba 0.0000 0.0000 0.0000 (multiplicity 1)
Ba 0.3333 0.6667 0.6439 (multiplicity 2)
Tm 0.0000 0.0000 0.5000 (multiplicity 1)
Zn 0.3333 0.6667 0.2013 (multiplicity 2)
O 0.1658 0.3315 0.3090 (multiplicity 6)

5.
First-principles (GGA-PBE) data for a relaxed Ba3TmZr2O9 crystal, as listed in Alexandria.

a = 6.0850 Å, b = 6.0850 Å, c = 7.4589 Å
α = 90.00°, β = 90.00°, γ = 120.00°
Space group P-3m1 (No. 164)
Unique sites:
Ba 0.0000 0.0000 0.0000 (multiplicity 1)
Ba 0.3333 0.6667 0.6654 (multiplicity 2)
Tm 0.0000 0.0000 0.5000 (multiplicity 1)
Zr 0.3333 0.6667 0.1664 (multiplicity 2)
O 0.0000 0.5000 0.0000 (multiplicity 3)
O 0.1705 0.3410 0.3272 (multiplicity 6)

6.
First-principles (GGA-PBE) data for a relaxed BaU2O6 crystal, as listed in Alexandria.

- Energy above the lowest structure with this stoichiometry: 0.0473 eV/atom

a = 11.0425 Å, b = 11.0425 Å, c = 11.0425 Å
α = 90.00°, β = 90.00°, γ = 90.00°
Space group Fd-3m (No. 227, origin choice 2)
Unique sites:
Ba 0.1250 0.1250 0.1250 (multiplicity 8)
U 0.0000 0.0000 0.5000 (multiplicity 16)
O 0.0804 0.3750 0.8750 (multiplicity 48)

no.,E_form (uncorrected) (eV/atom)
1,-3.192
2,-2.897
3,-2.909
4,-2.252
5,-3.081
6,-3.076